BaHg3Bi3 after structural relaxation. Source: Alexandria, functional GGA-PBE.

* ΔE to the lowest computed polymorph: 0.00 eV per formula unit
* energy relative to the elements: -20.97 kJ/mol of atoms

Cell and atoms, written as CIF:
```
data_BaHg3Bi3
_space_group_name_H-M_alt 'P 1'
_space_group_IT_number 1
_cell_length_a 9.702
_cell_length_b 9.702
_cell_length_c 5.461
_cell_angle_alpha 90.00
_cell_angle_beta 90.00
_cell_angle_gamma 120.00
loop_
_space_group_symop_operation_xyz
'x,y,z'
loop_
_atom_site_label
_atom_site_type_symbol
_atom_site_fract_x
_atom_site_fract_y
_atom_site_fract_z
_atom_site_occupancy
Ba1 Ba 0.333 0.667 0.250 1
Ba2 Ba 0.667 0.333 0.750 1
Hg1 Hg 0.085 0.464 0.750 1
Hg2 Hg 0.379 0.915 0.750 1
Hg3 Hg 0.464 0.379 0.250 1
Hg4 Hg 0.536 0.621 0.750 1
Hg5 Hg 0.621 0.085 0.250 1
Hg6 Hg 0.915 0.536 0.250 1
Bi1 Bi 0.023 0.221 0.250 1
Bi2 Bi 0.198 0.977 0.250 1
Bi3 Bi 0.221 0.198 0.750 1
Bi4 Bi 0.779 0.802 0.250 1
Bi5 Bi 0.802 0.023 0.750 1
Bi6 Bi 0.977 0.779 0.750 1
```